VASP calculation (PBE) on an optimized crystal structure of HfNb2Tl2.

Output
Energy above the lowest structure with this stoichiometry   0.00 eV per formula unit
DFT formation energy   47 kJ/mol of atoms
VASP energy   -6.475 eV/atom
ρ   11.78 g cm⁻³

a = 8.408 Å, b = 8.408 Å, c = 3.083 Å
α = 90.00°, β = 90.00°, γ = 90.00°
Space group P4/mbm (No. 127)
Inequivalent atoms, fractional coordinates:
Hf  0.000  0.000  0.000 [2 per cell]
Nb  0.114  0.386  0.000 [4 per cell]
Tl  0.182  0.682  0.500 [4 per cell]